DFT (PBE) results for an optimized crystal structure of TlCo2Cl.

Total magnetic moment in μB/cell: 2.98
Formation energy from raw total energies in meV/atom: 520

Unit cell a=7.746 b=7.746 c=7.746 alpha=23.60 beta=23.60 gamma=23.60
Fractional positions:
Tl1 0.250 0.250 0.250
Co1 0.009 0.009 0.009
Co2 0.491 0.491 0.491
Cl1 0.750 0.750 0.750